# 1
First-principles (PBE) data for a relaxed CsP2H4 crystal, as listed in Alexandria.

Cell and atoms, written as POSCAR:
```
CsP2H4
1.0
4.2274 0.0491 3.5095
2.0882 5.5937 1.7288
1.5305 0.0572 7.6103
H Cs P
4 1 2
direct
0.4052 0.6599 0.2839
0.9352 0.6602 0.7156
0.5948 0.3401 0.7161
0.0648 0.3398 0.2844
0.0000 0.0000 0.0000
0.2583 0.4839 0.5000
0.7417 0.5161 0.5000
```

Properties
Electronic total energy in eV/atom: -3.6504
Calculated density in Mg/m³: 2.21



# 2
First-principles (PBE) data for a relaxed Dy3YSb2C crystal, as listed in Alexandria.

Cell and atoms, written as POSCAR:
```
Dy3YSb2C
1.0
4.7897 0.0000 0.0000
0.0000 4.7910 0.0002
-2.3948 -2.3952 7.8785
Dy Sb Y C
3 2 1 1
direct
0.1574 0.1574 0.3147
0.0000 0.5000 0.0000
0.8426 0.8426 0.6853
0.3577 0.3577 0.7154
0.6423 0.6423 0.2846
0.5000 0.0000 0.0000
0.0000 0.0000 0.0000
```

Properties
Calculated density in Mg/m³: 7.64
E_form (uncorrected) in eV per atom: -0.781



# 3
First-principles (PBE) data for a relaxed Sc2SiMoN crystal, as listed in Alexandria.

Cell and atoms, written as POSCAR:
```
Sc2SiMoN
1.0
5.1821 0.0000 0.0000
0.0000 3.8178 0.0000
0.0000 0.0000 5.1821
Sc N Si Mo
2 1 1 1
direct
0.5000 0.0000 0.0000
0.0000 0.0000 0.5000
0.0000 0.5000 0.0000
0.5000 0.5000 0.5000
0.0000 0.0000 0.0000
```

Properties
Calculated density in Mg/m³: 3.69
E_form (uncorrected) in eV per atom: 0.446